A:
! NbP2Se6, relaxed, DFT PBE; values from VASP
! N(E_F) ... 0.155 states/eV/atom
&SYSTEM
  ibrav = 0, nat = 9, ntyp = 3
/
ATOMIC_SPECIES
Se 78.96 Se.upf
P 30.97 P.upf
Nb 92.91 Nb.upf
CELL_PARAMETERS angstrom
-4.2971 -4.6944 1.9833
1.7114 -6.4347 -0.3200
1.9357 -3.3137 7.5532
ATOMIC_POSITIONS crystal
Se 0.9414 0.3149 0.2353
Se 0.6659 0.4711 0.7653
Se 0.5084 0.9414 0.2353
Se 0.0976 0.6659 0.7653
Se 0.4711 0.0976 0.7653
Se 0.3149 0.5084 0.2353
P 0.6179 0.6179 0.1464
P 0.7151 0.7151 0.8546
Nb 0.3333 0.3333 0.0000



B:
! NbP2Se6, relaxed, DFT PBE; values from VASP
! N(E_F) ... 0.480 states/eV/atom
&SYSTEM
  ibrav = 0, nat = 18, ntyp = 3
/
ATOMIC_SPECIES
Se 78.96 Se.upf
Nb 92.91 Nb.upf
P 30.97 P.upf
CELL_PARAMETERS angstrom
-1.0609 -5.5801 2.6792
9.1289 -2.8963 2.4382
-3.2397 2.5914 8.9699
ATOMIC_POSITIONS crystal
Se 0.3316 0.0450 0.1597
Se 0.2243 0.0580 0.6575
Se 0.7757 0.9420 0.3425
Se 0.7243 0.6575 0.0580
Se 0.0415 0.4128 0.2903
Se 0.2757 0.3425 0.9420
Se 0.5415 0.2903 0.4128
Se 0.4585 0.7097 0.5872
Se 0.6684 0.9550 0.8403
Se 0.9585 0.5872 0.7097
Se 0.8316 0.1597 0.0450
Se 0.1684 0.8403 0.9550
Nb 0.7500 0.8938 0.1062
Nb 0.2500 0.1062 0.8938
P 0.2338 0.2199 0.3630
P 0.7338 0.3630 0.2199
P 0.2662 0.6370 0.7801
P 0.7662 0.7801 0.6370



Most stable pick: A. Distance to second place: 145 meV/atom.



A:
! NbP3Se, relaxed, DFT PBE; values from VASP
! N(E_F) ... 0.944 states/eV/atom
&SYSTEM
  ibrav = 0, nat = 5, ntyp = 3
/
ATOMIC_SPECIES
P 30.97 P.upf
Se 78.96 Se.upf
Nb 92.91 Nb.upf
CELL_PARAMETERS angstrom
4.8221 0.0000 0.0000
0.0000 4.8221 0.0000
0.0000 0.0000 4.8221
ATOMIC_POSITIONS crystal
P 0.5000 0.0000 0.0000
P 0.0000 0.0000 0.5000
P 0.0000 0.5000 0.0000
Se 0.5000 0.5000 0.5000
Nb 0.0000 0.0000 0.0000



B:
! NbP3Se, relaxed, DFT PBE; values from VASP
! N(E_F) ... 1.044 states/eV/atom
&SYSTEM
  ibrav = 0, nat = 5, ntyp = 3
/
ATOMIC_SPECIES
P 30.97 P.upf
Nb 92.91 Nb.upf
Se 78.96 Se.upf
CELL_PARAMETERS angstrom
-1.1907 4.2515 1.2663
-4.4242 -1.0421 -0.6610
-0.3246 -1.3911 4.3653
ATOMIC_POSITIONS crystal
P 0.0000 0.0000 0.5000
P 0.5000 0.0000 0.0000
P 0.0000 0.5000 0.0000
Nb 0.5000 0.5000 0.5000
Se 0.0000 0.0000 0.0000



Most stable pick: A. Distance to second place: 578 meV/atom.